Record 1
# HfTl3Ge2Te6

A relaxed structure of HfTl3Ge2Te6 (PBE-GGA, Alexandria).

## Properties
The total energy comes out at -4.120 eV per atom.

CIF file:
```
data_HfTl3Ge2Te6
_space_group_name_H-M_alt 'P 1'
_space_group_IT_number 1
_space_group_name_Hall 'P 1'
_cell_length_a 7.498
_cell_length_b 7.498
_cell_length_c 8.198
_cell_angle_alpha 98.89
_cell_angle_beta 98.89
_cell_angle_gamma 119.93
loop_
_atom_site_label
_atom_site_fract_x
_atom_site_fract_y
_atom_site_fract_z
Tl1 0.500 0.500 0.500
Tl2 0.833 0.167 0.500
Te1 0.932 0.608 0.798
Ge1 0.667 0.333 0.000
Te2 0.392 0.068 0.202
Te3 0.068 0.392 0.202
Te4 0.256 0.256 0.796
Ge2 0.333 0.667 0.000
Tl3 0.167 0.833 0.500
Te5 0.744 0.744 0.204
Te6 0.608 0.932 0.798
Hf1 0.000 0.000 0.000
```

Record 2
# CeTiSn

A relaxed structure of CeTiSn (PBE-GGA, Alexandria).

## Properties
The energy of formation comes out at -4.423 kcal/mol of atoms.

CIF file:
```
data_CeTiSn
_space_group_name_H-M_alt 'P 1'
_space_group_IT_number 1
_space_group_name_Hall 'P 1'
_cell_length_a 3.731
_cell_length_b 4.867
_cell_length_c 4.867
_cell_angle_alpha 120.00
_cell_angle_beta 90.00
_cell_angle_gamma 90.00
loop_
_atom_site_label
_atom_site_fract_x
_atom_site_fract_y
_atom_site_fract_z
Sn1 0.834 0.667 0.333
Ce1 0.333 0.333 0.667
Ti1 0.833 0.000 0.000
```

Record 3
# Al2TlBi

A relaxed structure of Al2TlBi (PBE-GGA, Alexandria).

## Properties
The energy of formation comes out at 8.920 kcal/mol of atoms. The value obtained for the offset from the most stable computed form is 109 meV/atom.

CIF file:
```
data_Al2TlBi
_space_group_name_H-M_alt 'P 1'
_space_group_IT_number 1
_space_group_name_Hall 'P 1'
_cell_length_a 6.711
_cell_length_b 6.711
_cell_length_c 7.558
_cell_angle_alpha 63.64
_cell_angle_beta 63.64
_cell_angle_gamma 90.00
loop_
_atom_site_label
_atom_site_fract_x
_atom_site_fract_y
_atom_site_fract_z
Al1 0.126 0.625 0.250
Tl1 0.500 0.500 0.000
Al2 0.375 0.376 0.750
Tl2 0.250 0.750 0.500
Al3 0.624 0.125 0.250
Bi1 0.750 0.250 0.500
Bi2 0.000 0.000 0.000
Al4 0.875 0.874 0.750
```

Record 4
# Na2Ti2Se9

A relaxed structure of Na2Ti2Se9 (PBE-GGA, Alexandria).

## Properties
The total energy comes out at -4.638 eV per atom.

CIF file:
```
data_Na2Ti2Se9
_space_group_name_H-M_alt 'P 1'
_space_group_IT_number 1
_space_group_name_Hall 'P 1'
_cell_length_a 15.325
_cell_length_b 13.203
_cell_length_c 14.066
_cell_angle_alpha 85.84
_cell_angle_beta 90.00
_cell_angle_gamma 90.00
loop_
_atom_site_label
_atom_site_fract_x
_atom_site_fract_y
_atom_site_fract_z
Na1 0.531 0.885 0.117
Ti1 0.733 0.015 0.476
Ti2 0.732 0.021 0.734
Na2 0.006 0.838 0.074
Se1 0.076 0.590 0.613
Se2 0.606 0.953 0.860
Se3 0.205 0.829 0.651
Na3 0.968 0.236 0.371
Se4 0.367 0.894 0.991
Se5 0.132 0.064 0.391
Ti3 0.979 0.513 0.992
Se6 0.111 0.845 0.263
Ti4 0.967 0.487 0.496
Se7 0.850 0.562 0.105
Se8 0.867 0.106 0.009
Se9 0.665 0.831 0.978
Se10 0.954 0.643 0.856
Se11 0.821 0.180 0.235
Na4 0.755 0.632 0.870
Ti5 0.721 0.012 0.975
Na5 0.230 0.699 0.392
Na6 0.255 0.368 0.130
Se12 0.364 0.563 0.632
Na7 0.760 0.649 0.371
Na8 0.730 0.301 0.608
Se13 0.647 0.484 0.000
Se14 0.854 0.577 0.607
Se15 0.124 0.908 0.904
Se16 0.289 0.163 0.257
Ti6 0.467 0.513 0.504
Se17 0.571 0.663 0.483
Se18 0.319 0.895 0.404
Ti7 0.470 0.488 0.265
Se19 0.989 0.370 0.875
Se20 0.079 0.918 0.485
Na9 0.153 0.681 0.841
Se21 0.576 0.410 0.387
Se22 0.831 0.956 0.108
Se23 0.165 0.169 0.022
Na10 0.932 0.926 0.623
Ti8 0.965 0.499 0.236
Se24 0.068 0.569 0.364
Na11 0.506 0.162 0.926
Se25 0.348 0.047 0.149
Na12 0.468 0.764 0.629
Se26 0.350 0.438 0.895
Se27 0.454 0.357 0.144
Se28 0.477 0.318 0.553
Se29 0.789 0.837 0.743
Na13 0.432 0.074 0.377
Na14 0.260 0.351 0.629
Se30 0.811 0.847 0.475
Se31 0.981 0.353 0.129
Se32 0.106 0.047 0.140
Se33 0.579 0.082 0.515
Ti9 0.221 0.988 0.025
Se34 0.857 0.382 0.966
Se35 0.092 0.370 0.250
Se36 0.592 0.630 0.750
Se37 0.331 0.044 0.892
Se38 0.071 0.337 0.517
Se39 0.067 0.615 0.107
Se40 0.632 0.936 0.609
Se41 0.624 0.092 0.096
Se42 0.904 0.683 0.210
Ti10 0.465 0.501 0.764
Se43 0.354 0.423 0.393
Na15 0.653 0.319 0.159
Ti11 0.220 0.976 0.766
Ti12 0.970 0.512 0.735
Na16 0.031 0.115 0.883
Ti13 0.232 0.979 0.266
Se44 0.684 0.833 0.243
Se45 0.353 0.021 0.642
Se46 0.611 0.155 0.737
Se47 0.357 0.618 0.034
Se48 0.113 0.063 0.647
Se49 0.567 0.385 0.893
Se50 0.953 0.346 0.628
Se51 0.229 0.831 0.152
Se52 0.147 0.516 0.000
Ti14 0.479 0.487 0.008
Se53 0.864 0.437 0.368
Se54 0.636 0.521 0.258
Se55 0.729 0.169 0.848
Se56 0.853 0.979 0.358
Se57 0.308 0.544 0.267
Ti15 0.233 0.985 0.524
Se58 0.184 0.167 0.757
Se59 0.808 0.456 0.733
Ti16 0.720 0.024 0.234
Se60 0.613 0.937 0.353
Se61 0.489 0.630 0.125
Se62 0.321 0.820 0.765
Se63 0.311 0.153 0.525
Se64 0.977 0.682 0.447
Se65 0.705 0.171 0.349
Se66 0.848 0.953 0.851
Se67 0.568 0.431 0.636
Se68 0.481 0.647 0.871
Se69 0.136 0.479 0.742
Se70 0.453 0.654 0.372
Se71 0.819 0.105 0.596
Se72 0.404 0.317 0.790
```

Record 5
# Ca2ZnCd3

A relaxed structure of Ca2ZnCd3 (PBE-GGA, Alexandria).

## Properties
The energy of formation comes out at -7.074 kcal/mol of atoms.

CIF file:
```
data_Ca2ZnCd3
_space_group_name_H-M_alt 'P 1'
_space_group_IT_number 1
_space_group_name_Hall 'P 1'
_cell_length_a 6.133
_cell_length_b 6.133
_cell_length_c 9.760
_cell_angle_alpha 113.64
_cell_angle_beta 113.64
_cell_angle_gamma 73.97
loop_
_atom_site_label
_atom_site_fract_x
_atom_site_fract_y
_atom_site_fract_z
Cd1 0.171 0.171 0.829
Zn1 0.666 0.666 0.333
Ca1 0.250 0.750 0.500
Ca2 0.750 0.250 0.500
Cd2 0.342 0.342 0.171
Ca3 0.250 0.750 0.000
Cd3 0.829 0.829 0.171
Ca4 0.750 0.250 0.000
Zn2 0.334 0.334 0.667
Cd4 0.171 0.171 0.342
Cd5 0.829 0.829 0.658
Cd6 0.658 0.658 0.829
```

Record 6
# La2NiH6Pt

A relaxed structure of La2NiH6Pt (PBE-GGA, Alexandria).

## Properties
The total energy comes out at -4.691 eV per atom.

CIF file:
```
data_La2NiH6Pt
_space_group_name_H-M_alt 'P 1'
_space_group_IT_number 1
_space_group_name_Hall 'P 1'
_cell_length_a 5.083
_cell_length_b 5.083
_cell_length_c 5.536
_cell_angle_alpha 117.33
_cell_angle_beta 117.33
_cell_angle_gamma 90.00
loop_
_atom_site_label
_atom_site_fract_x
_atom_site_fract_y
_atom_site_fract_z
H1 0.248 0.248 0.000
La1 0.750 0.251 0.500
Pt1 0.500 0.500 0.000
Ni1 0.000 0.000 0.000
H2 0.194 0.195 0.389
H3 0.805 0.806 0.611
H4 0.248 0.752 0.000
H5 0.752 0.248 0.000
H6 0.752 0.752 0.000
La2 0.250 0.751 0.500
```

Short version: size of the total moment = 0.00; 2.99; 0.00; 0.00; 0.00; 0.01 μB/cell, in the order given.